# 1
GaI3 | PBE | relaxed

Lattice parameters (Å, degrees): 10.958 13.110 7.438 90.00 90.00 90.00
Space group Cmcm (No. 63)
Symmetry-distinct sites (fractional):
1 Ga 0.000 0.210 0.250 (multiplicity 4)
2 I 0.000 0.401 0.250 (multiplicity 4)
3 I 0.197 0.115 0.250 (multiplicity 8)

Polymorph energy (0 for the lowest one) (meV per atom): 73
Density of states at the Fermi level (states/eV per atom): 0.0000
E_form (uncorrected) (eV/atom): -0.40
Calculated volume (Å³ per cell): 1068.5

# 2
GaI3 | PBE | relaxed

Lattice parameters (Å, degrees): 10.212 6.778 12.304 90.00 108.33 90.00
Space group P2_1/c (No. 14)
Symmetry-distinct sites (fractional):
1 Ga 0.190 0.009 0.049 (multiplicity 4)
2 I 0.004 0.710 0.388 (multiplicity 4)
3 I 0.313 0.238 0.952 (multiplicity 4)
4 I 0.327 0.707 0.711 (multiplicity 4)

Polymorph energy (0 for the lowest one) (meV per atom): 0
Density of states at the Fermi level (states/eV per atom): 0.0000
E_form (uncorrected) (eV/atom): -0.48
Calculated volume (Å³ per cell): 808.4

# 3
Ga2I | PBE | relaxed

Lattice parameters (Å, degrees): 8.668 8.668 8.668 90.00 90.00 90.00
Space group Fd-3m (No. 227, origin choice 2)
Symmetry-distinct sites (fractional):
1 Ga 0.000 0.000 0.000 (multiplicity 16)
2 I 0.125 0.125 0.625 (multiplicity 8)

Density of states at the Fermi level (states/eV per atom): 0.5114
E_form (uncorrected) (eV/atom): 0.03
Calculated volume (Å³ per cell): 651.2

# 4
InGaI4 | PBE | relaxed

Lattice parameters (Å, degrees): 11.619 9.548 10.777 90.00 97.77 90.00
Space group C2/c (No. 15)
Symmetry-distinct sites (fractional):
1 In 0.250 0.250 0.000 (multiplicity 4)
2 Ga 0.000 0.150 0.250 (multiplicity 4)
3 I 0.036 0.306 0.447 (multiplicity 8)
4 I 0.185 0.001 0.737 (multiplicity 8)

Density of states at the Fermi level (states/eV per atom): 0.0000
E_form (uncorrected) (eV/atom): -0.49
Calculated volume (Å³ per cell): 1184.5

# 5
In3GaI8 | PBE | relaxed

Lattice parameters (Å, degrees): 13.010 9.015 10.350 90.00 91.35 90.00
Space group C2/m (No. 12)
Symmetry-distinct sites (fractional):
1 In 0.000 0.000 0.000 (multiplicity 2)
2 In 0.130 0.500 0.262 (multiplicity 4)
3 Ga 0.000 0.000 0.500 (multiplicity 2)
4 I 0.001 0.254 0.737 (multiplicity 8)
5 I 0.234 0.500 0.034 (multiplicity 4)
6 I 0.248 0.500 0.485 (multiplicity 4)

E_form (uncorrected) (eV/atom): -0.46
Calculated volume (Å³ per cell): 1213.5

# 6
In2Ga2I | PBE | relaxed

Lattice parameters (Å, degrees): 8.682 8.682 3.737 90.00 90.00 90.00
Space group P4/mbm (No. 127)
Symmetry-distinct sites (fractional):
1 In 0.183 0.317 0.000 (multiplicity 4)
2 Ga 0.112 0.612 0.500 (multiplicity 4)
3 I 0.000 0.000 0.000 (multiplicity 2)

Polymorph energy (0 for the lowest one) (meV per atom): 29
Density of states at the Fermi level (states/eV per atom): 0.4529
E_form (uncorrected) (eV/atom): 0.03
Calculated volume (Å³ per cell): 281.7

# 7
In2GaI | PBE | relaxed

Lattice parameters (Å, degrees): 6.703 6.703 13.728 90.00 90.00 90.00
Space group I-42d (No. 122)
Symmetry-distinct sites (fractional):
1 In 0.171 0.250 0.125 (multiplicity 8)
2 Ga 0.000 0.000 0.000 (multiplicity 4)
3 I 0.000 0.000 0.500 (multiplicity 4)

Polymorph energy (0 for the lowest one) (meV per atom): 0
Density of states at the Fermi level (states/eV per atom): 0.0292
E_form (uncorrected) (eV/atom): -0.04
Calculated volume (Å³ per cell): 616.9

# 8
In2Ga2I | PBE | relaxed

Lattice parameters (Å, degrees): 4.806 4.806 11.967 90.00 90.00 90.00
Space group I4/mmm (No. 139)
Symmetry-distinct sites (fractional):
1 In 0.000 0.500 0.250 (multiplicity 4)
2 Ga 0.000 0.000 0.106 (multiplicity 4)
3 I 0.000 0.000 0.500 (multiplicity 2)

Polymorph energy (0 for the lowest one) (meV per atom): 28
Density of states at the Fermi level (states/eV per atom): 0.6718
E_form (uncorrected) (eV/atom): 0.03
Calculated volume (Å³ per cell): 276.4

# 9
InGa5I6 | PBE | relaxed

Lattice parameters (Å, degrees): 8.209 14.186 8.194 90.00 109.45 90.00
Space group C2/m (No. 12)
Symmetry-distinct sites (fractional):
1 In 0.000 0.000 0.000 (multiplicity 2)
2 Ga 0.000 0.166 0.500 (multiplicity 4)
3 Ga 0.000 0.334 0.000 (multiplicity 4)
4 Ga 0.000 0.500 0.500 (multiplicity 2)
5 I 0.239 0.500 0.252 (multiplicity 4)
6 I 0.242 0.328 0.743 (multiplicity 8)

E_form (uncorrected) (eV/atom): -0.36
Calculated volume (Å³ per cell): 899.8

# 10
InGaI | PBE | relaxed

Lattice parameters (Å, degrees): 6.333 4.503 7.390 90.00 111.26 90.00
Space group P2_1/m (No. 11)
Symmetry-distinct sites (fractional):
1 In 0.059 0.250 0.166 (multiplicity 2)
2 Ga 0.034 0.250 0.603 (multiplicity 2)
3 I 0.494 0.750 0.248 (multiplicity 2)

Density of states at the Fermi level (states/eV per atom): 0.3210
E_form (uncorrected) (eV/atom): -0.16
Calculated volume (Å³ per cell): 196.4

# 11
In2GaI3 | PBE | relaxed

Lattice parameters (Å, degrees): 4.838 6.895 14.710 90.00 90.00 90.00
Space group Immm (No. 71)
Symmetry-distinct sites (fractional):
1 In 0.000 0.000 0.168 (multiplicity 4)
2 Ga 0.000 0.000 0.500 (multiplicity 2)
3 I 0.000 0.500 0.156 (multiplicity 4)
4 I 0.000 0.500 0.500 (multiplicity 2)

Polymorph energy (0 for the lowest one) (meV per atom): 0
Density of states at the Fermi level (states/eV per atom): 0.0000
E_form (uncorrected) (eV/atom): -0.41
Calculated volume (Å³ per cell): 490.7

# 12
InGaI | PBE | relaxed

Lattice parameters (Å, degrees): 4.107 4.149 6.362 108.93 98.87 92.62
Space group P1 (No. 1)
Symmetry-distinct sites (fractional):
1 In 0.000 0.000 0.000 (multiplicity 1)
2 Ga 0.484 0.459 0.922 (multiplicity 1)
3 I 0.509 0.225 0.457 (multiplicity 1)

Density of states at the Fermi level (states/eV per atom): 0.2711
E_form (uncorrected) (eV/atom): -0.13
Calculated volume (Å³ per cell): 100.8

# 13
In5GaI7 | PBE | relaxed

Lattice parameters (Å, degrees): 4.699 8.265 29.004 90.02 90.00 106.47
Space group P1 (No. 1)
Symmetry-distinct sites (fractional):
1 In 0.000 0.000 0.000 (multiplicity 1)
2 In 0.000 0.000 0.194 (multiplicity 1)
3 In 0.075 0.160 0.500 (multiplicity 1)
4 In 0.075 0.160 0.694 (multiplicity 1)
5 In 0.269 0.539 0.269 (multiplicity 1)
6 In 0.269 0.539 0.925 (multiplicity 1)
7 In 0.537 0.079 0.347 (multiplicity 1)
8 In 0.537 0.079 0.847 (multiplicity 1)
9 In 0.805 0.619 0.425 (multiplicity 1)
10 In 0.806 0.620 0.769 (multiplicity 1)
11 Ga 0.335 0.655 0.597 (multiplicity 1)
12 Ga 0.738 0.505 0.097 (multiplicity 1)
13 I 0.104 0.212 0.097 (multiplicity 1)
14 I 0.172 0.350 0.383 (multiplicity 1)
15 I 0.172 0.351 0.810 (multiplicity 1)
16 I 0.352 0.701 0.167 (multiplicity 1)
17 I 0.352 0.702 0.026 (multiplicity 1)
18 I 0.442 0.894 0.455 (multiplicity 1)
19 I 0.442 0.894 0.739 (multiplicity 1)
20 I 0.632 0.265 0.239 (multiplicity 1)
21 I 0.632 0.266 0.955 (multiplicity 1)
22 I 0.723 0.457 0.667 (multiplicity 1)
23 I 0.723 0.458 0.526 (multiplicity 1)
24 I 0.902 0.808 0.310 (multiplicity 1)
25 I 0.903 0.808 0.884 (multiplicity 1)
26 I 0.971 0.947 0.597 (multiplicity 1)

Density of states at the Fermi level (states/eV per atom): 0.5255
E_form (uncorrected) (eV/atom): -0.41
Calculated volume (Å³ per cell): 1080.2

# 14
InGaI5 | PBE | relaxed

Lattice parameters (Å, degrees): 8.003 8.514 11.580 111.01 107.55 92.86
Space group P-1 (No. 2)
Symmetry-distinct sites (fractional):
1 In 0.000 0.000 0.000 (multiplicity 1)
2 In 0.000 0.500 0.500 (multiplicity 1)
3 Ga 0.425 0.131 0.770 (multiplicity 2)
4 I 0.104 0.278 0.244 (multiplicity 2)
5 I 0.224 0.777 0.128 (multiplicity 2)
6 I 0.326 0.187 0.976 (multiplicity 2)
7 I 0.335 0.364 0.681 (multiplicity 2)
8 I 0.339 0.828 0.591 (multiplicity 2)

E_form (uncorrected) (eV/atom): -0.45
Calculated volume (Å³ per cell): 691.2

# 15
InGaI | PBE | relaxed

Lattice parameters (Å, degrees): 9.061 9.760 4.311 90.00 90.00 90.00
Space group Pna2_1 (No. 33)
Symmetry-distinct sites (fractional):
1 In 0.140 0.039 0.000 (multiplicity 4)
2 Ga 0.180 0.788 0.498 (multiplicity 4)
3 I 0.037 0.323 0.499 (multiplicity 4)

Density of states at the Fermi level (states/eV per atom): 0.2794
E_form (uncorrected) (eV/atom): -0.11
Calculated volume (Å³ per cell): 381.2

# 16
InGa2I4 | PBE | relaxed

Lattice parameters (Å, degrees): 9.108 9.108 7.625 90.00 90.00 90.00
Space group I4/m (No. 87)
Symmetry-distinct sites (fractional):
1 In 0.000 0.000 0.000 (multiplicity 2)
2 Ga 0.000 0.500 0.250 (multiplicity 4)
3 I 0.171 0.309 0.500 (multiplicity 8)

Polymorph energy (0 for the lowest one) (meV per atom): 47
Density of states at the Fermi level (states/eV per atom): 0.8780
E_form (uncorrected) (eV/atom): -0.25
Calculated volume (Å³ per cell): 632.6

# 17
InGaI | PBE | relaxed

Lattice parameters (Å, degrees): 6.346 4.458 7.189 90.00 102.25 90.00
Space group P2_1 (No. 4)
Symmetry-distinct sites (fractional):
1 In 0.054 0.000 0.159 (multiplicity 2)
2 Ga 0.083 0.493 0.443 (multiplicity 2)
3 I 0.434 0.365 0.745 (multiplicity 2)

Density of states at the Fermi level (states/eV per atom): 0.1376
E_form (uncorrected) (eV/atom): -0.16
Calculated volume (Å³ per cell): 198.8

# 18
In2Ga2I | PBE | relaxed

Lattice parameters (Å, degrees): 4.016 4.016 17.178 90.00 90.00 90.00
Space group I4/mmm (No. 139)
Symmetry-distinct sites (fractional):
1 In 0.000 0.000 0.116 (multiplicity 4)
2 Ga 0.000 0.500 0.250 (multiplicity 4)
3 I 0.000 0.000 0.500 (multiplicity 2)

Polymorph energy (0 for the lowest one) (meV per atom): 11
Density of states at the Fermi level (states/eV per atom): 0.5993
E_form (uncorrected) (eV/atom): 0.01
Calculated volume (Å³ per cell): 277.0

# 19
InGa2I4 | PBE | relaxed

Lattice parameters (Å, degrees): 6.365 6.365 14.549 90.00 90.00 90.00
Space group I4/mmm (No. 139)
Symmetry-distinct sites (fractional):
1 In 0.000 0.000 0.000 (multiplicity 2)
2 Ga 0.000 0.000 0.401 (multiplicity 4)
3 I 0.000 0.000 0.208 (multiplicity 4)
4 I 0.000 0.500 0.000 (multiplicity 4)

Polymorph energy (0 for the lowest one) (meV per atom): 0
Density of states at the Fermi level (states/eV per atom): 0.2780
E_form (uncorrected) (eV/atom): -0.30
Calculated volume (Å³ per cell): 589.4

# 20
InGaI | PBE | relaxed

Lattice parameters (Å, degrees): 4.120 4.408 5.479 90.00 90.09 90.00
Space group Pm (No. 6)
Symmetry-distinct sites (fractional):
1 In 0.000 0.000 0.000 (multiplicity 1)
2 Ga 0.500 0.500 0.963 (multiplicity 1)
3 I 0.991 0.500 0.487 (multiplicity 1)

Density of states at the Fermi level (states/eV per atom): 0.2419
E_form (uncorrected) (eV/atom): -0.12
Calculated volume (Å³ per cell): 99.5

no.,raw total energy (eV/atom)
1,-2.32
2,-2.40
3,-2.51
4,-2.49
5,-2.43
6,-2.59
7,-2.56
8,-2.59
9,-2.62
10,-2.60
11,-2.61
12,-2.57
13,-2.53
14,-2.38
15,-2.54
16,-2.39
17,-2.60
18,-2.60
19,-2.44
20,-2.55